[1]
This record from Alexandria describes a relaxed structure of LaEr8Tm2. The functional is GGA-PBE.

abc: 6.5796 6.5796 9.0821
angles: 104.75 104.75 66.99
Sites, in units of the cell vectors:
La 0.0000 0.0000 0.0000
Er 0.1472 0.1472 0.6119
Er 0.2132 0.6522 0.7266
Er 0.3081 0.3081 0.9986
Er 0.3478 0.7868 0.2734
Er 0.6522 0.2132 0.7266
Er 0.6919 0.6919 0.0014
Er 0.7868 0.3478 0.2734
Er 0.8528 0.8528 0.3881
Tm 0.3374 0.3374 0.3844
Tm 0.6626 0.6626 0.6156

Results
The calculation puts the volume at 31.330 Å³/atom. The value obtained for the energy of formation from the pure elements is 1.5 eV/f.u.

[2]
This record from Alexandria describes a relaxed structure of LaErTm14. The functional is GGA-PBE.

abc: 11.3267 7.0520 7.0520
angles: 60.01 90.00 90.00
Sites, in units of the cell vectors:
La 0.0000 0.0000 0.0000
Er 0.0000 0.5000 0.5000
Tm 0.0000 0.0006 0.5000
Tm 0.0000 0.5000 0.0006
Tm 0.2498 0.6669 0.6669
Tm 0.2536 0.1674 0.1674
Tm 0.2539 0.1675 0.6653
Tm 0.2539 0.6653 0.1675
Tm 0.5000 0.3333 0.3333
Tm 0.5000 0.3342 0.8330
Tm 0.5000 0.8330 0.3342
Tm 0.5000 0.8331 0.8331
Tm 0.7464 0.1674 0.1674
Tm 0.7461 0.1675 0.6653
Tm 0.7461 0.6653 0.1675
Tm 0.7502 0.6669 0.6669

Results
The calculation puts the volume at 30.493 Å³/atom. The value obtained for the energy of formation from the pure elements is 0.2 eV/f.u.

[3]
This record from Alexandria describes a relaxed structure of La2YEr5Tm. The functional is GGA-PBE.

abc: 10.2726 10.2726 10.6773
angles: 90.00 90.00 148.24
Sites, in units of the cell vectors:
La 0.1130 0.8870 0.5000
La 0.1149 0.8851 0.0842
La 0.8851 0.1149 0.5842
La 0.8870 0.1130 0.0000
Y 0.4128 0.5872 0.2285
Y 0.5872 0.4128 0.7285
Er 0.0162 0.9838 0.7910
Er 0.2810 0.7190 0.0747
Er 0.2992 0.7008 0.4742
Er 0.3870 0.6130 0.7875
Er 0.4805 0.5195 0.5064
Er 0.5195 0.4805 0.0064
Er 0.6130 0.3870 0.2875
Er 0.7008 0.2992 0.9742
Er 0.7190 0.2810 0.5747
Er 0.9838 0.0162 0.2910
Tm 0.2007 0.7993 0.7785
Tm 0.7993 0.2007 0.2785

Results
The calculation puts the volume at 32.952 Å³/atom. The value obtained for the energy of formation from the pure elements is 1.3 eV/f.u.

| no. | electronic total energy (eV/atom) |
| --- | --- |
| 1 | -4.44 |
| 2 | -4.49 |
| 3 | -4.70 |